[1]
{
  "formula": "CeTm2Ir3",
  "functional": "GGA-PBE",
  "state": "optimized geometry",
  "spacegroup": "No. 164",
  "energy_ev_per_atom": -7.73,
  "delta_e_f_ev_per_atom": -0.822,
  "lattice_angstrom": [[4.851, 0.000, 0.000], [-2.425, 4.201, 0.000], [0.000, 0.000, 5.921]],
  "species": ["Ce", "Tm", "Tm", "Ir", "Ir", "Ir"],
  "fractional_positions": [[0.000, 0.000, 0.000], [0.333, 0.667, 0.661], [0.667, 0.333, 0.339], [0.000, 0.000, 0.500], [0.333, 0.667, 0.162], [0.667, 0.333, 0.838]]
}

=====

[2]
{
  "formula": "CeTmIr",
  "functional": "GGA-PBE",
  "state": "optimized geometry",
  "spacegroup": "No. 63",
  "polymorph_energy_ev_per_atom": 0.0000,
  "energy_ev_per_atom": -7.05,
  "delta_e_f_ev_per_atom": -0.624,
  "lattice_angstrom": [[1.897, -5.954, 0.000], [1.897, 5.954, 0.000], [0.000, 0.000, 6.629]],
  "species": ["Ce", "Ce", "Tm", "Tm", "Ir", "Ir"],
  "fractional_positions": [[0.214, 0.786, 0.750], [0.786, 0.214, 0.250], [0.500, 0.500, 0.000], [0.500, 0.500, 0.500], [0.123, 0.877, 0.250], [0.877, 0.123, 0.750]]
}

=====

[3]
{
  "formula": "Ce2Tm2Ir3",
  "functional": "GGA-PBE",
  "state": "optimized geometry",
  "spacegroup": "No. 12",
  "polymorph_energy_ev_per_atom": 0.0706,
  "energy_ev_per_atom": -7.47,
  "delta_e_f_ev_per_atom": -0.703,
  "lattice_angstrom": [[5.317, -2.295, 0.000], [5.317, 2.295, 0.000], [-1.407, 0.000, 7.111]],
  "species": ["Ce", "Ce", "Tm", "Tm", "Ir", "Ir", "Ir"],
  "fractional_positions": [[0.129, 0.129, 0.359], [0.871, 0.871, 0.641], [0.361, 0.361, 0.076], [0.639, 0.639, 0.924], [0.000, 0.000, 0.000], [0.191, 0.191, 0.720], [0.809, 0.809, 0.280]]
}